## YSiPb2 (PBE)

Data for crystalline YSiPb2 at its relaxed geometry.

Values from the calculation:
Formation energy from raw total energies ... -12 kJ/mol of atoms
Volume ... 27.7 Å³/atom

```
data_YSiPb2
_chemical_formula_sum 'Y1 Si1 Pb2'
_space_group_name_H-M_alt 'P m m 2'
_space_group_IT_number 25
_space_group_name_Hall 'P 2 -2'
_cell_length_a 3.9129
_cell_length_b 4.1315
_cell_length_c 6.8513
_cell_angle_alpha 90.00
_cell_angle_beta 90.00
_cell_angle_gamma 90.00
loop_
_atom_site_label
_atom_site_type_symbol
_atom_site_fract_x
_atom_site_fract_y
_atom_site_fract_z
Y1 Y 0.0000 0.0000 0.0000
Si1 Si 0.5000 0.5000 0.8929
Pb1 Pb 0.0000 0.0000 0.5376
Pb2 Pb 0.5000 0.5000 0.2991
```


## YSiPb2 (PBE)

Data for crystalline YSiPb2 at its relaxed geometry.

Values from the calculation:
Formation energy from raw total energies ... -11 kJ/mol of atoms
Volume ... 26.1 Å³/atom

```
data_YSiPb2
_chemical_formula_sum 'Y2 Si2 Pb4'
_space_group_name_H-M_alt 'I 4/m m m'
_space_group_IT_number 139
_space_group_name_Hall '-I 4 2'
_cell_length_a 4.3929
_cell_length_b 4.3929
_cell_length_c 10.8003
_cell_angle_alpha 90.00
_cell_angle_beta 90.00
_cell_angle_gamma 90.00
loop_
_atom_site_label
_atom_site_type_symbol
_atom_site_fract_x
_atom_site_fract_y
_atom_site_fract_z
Y1 Y 0.0000 0.0000 0.0000
Si1 Si 0.0000 0.0000 0.5000
Pb1 Pb 0.0000 0.5000 0.2500
```


## YSiPb2 (PBE)

Data for crystalline YSiPb2 at its relaxed geometry.

Values from the calculation:
Formation energy from raw total energies ... -5 kJ/mol of atoms
Volume ... 26.8 Å³/atom

```
data_YSiPb2
_chemical_formula_sum 'Y1 Si1 Pb2'
_space_group_name_H-M_alt 'P 4 m m'
_space_group_IT_number 99
_space_group_name_Hall 'P 4 -2'
_cell_length_a 3.5141
_cell_length_b 3.5141
_cell_length_c 8.6820
_cell_angle_alpha 90.00
_cell_angle_beta 90.00
_cell_angle_gamma 90.00
loop_
_atom_site_label
_atom_site_type_symbol
_atom_site_fract_x
_atom_site_fract_y
_atom_site_fract_z
Y1 Y 0.0000 0.0000 0.0000
Si1 Si 0.5000 0.5000 0.8041
Pb1 Pb 0.0000 0.0000 0.5835
Pb2 Pb 0.5000 0.5000 0.2799
```


- What is the formation energy from raw total energies in the third record?
  -5 kJ/mol of atoms


- Look up the volume of the second one.
  26.1 Å³/atom


- Which of these has the highest formation energy from raw total energies?
  number 3


- Among the records above, which one has the lowest volume?
  number 2